Record 1
The following is a DFT calculation (PBE) of an optimized crystal structure of HoCdO2.

Lattice parameters (Å, degrees): 7.0091 7.0091 7.0091 28.67 28.67 28.67
Fractional coordinates of all 4 atoms:
1 Ho 0.0000 0.0000 0.0000
2 Cd 0.5000 0.5000 0.5000
3 O 0.3875 0.3875 0.3875
4 O 0.6125 0.6125 0.6125

## Properties
Magnetic moment: 0.0 μB/f.u.
DOS(E_F): 0.35 states/eV per atom
Space group: R-3m (166)
Volume: 70.1 Å³ per cell
Formation energy without anion corrections: -9.24 eV per formula unit



Record 2
The following is a DFT calculation (PBE) of an optimized crystal structure of Bi3Pd4Pb.

Lattice parameters (Å, degrees): 6.7029 6.7029 6.7029 127.42 77.95 126.95
Fractional coordinates of all 8 atoms:
1 Bi 0.0000 0.0000 0.0000
2 Bi 0.0327 0.7493 0.2834
3 Bi 0.4659 0.7493 0.7166
4 Pd 0.0519 0.2812 0.7707
5 Pd 0.3907 0.1384 0.7478
6 Pd 0.3907 0.6429 0.2522
7 Pd 0.5105 0.2812 0.2293
8 Pb 0.7936 0.2936 0.5000

## Properties
Energy of formation: -1.01 eV/f.u.
Magnetic moment: 0.0 μB/f.u.
DOS(E_F): 0.53 states/eV per atom
Space group: Imm2 (44)
Volume: 185.2 Å³ per cell



Record 3
The following is a DFT calculation (PBE) of an optimized crystal structure of Tm12Sn5Ru2.

Lattice parameters (Å, degrees): 9.2135 9.2135 9.5598 104.64 104.64 47.76
Fractional coordinates of all 19 atoms:
1 Tm 0.0046 0.0046 0.2402
2 Tm 0.0780 0.6011 0.9145
3 Tm 0.0975 0.6127 0.4299
4 Tm 0.3873 0.9025 0.5701
5 Tm 0.3989 0.9220 0.0855
6 Tm 0.4949 0.4949 0.1724
7 Tm 0.5051 0.5051 0.8276
8 Tm 0.6011 0.0780 0.9145
9 Tm 0.6127 0.0975 0.4299
10 Tm 0.9025 0.3873 0.5701
11 Tm 0.9220 0.3989 0.0855
12 Tm 0.9954 0.9954 0.7598
13 Sn 0.1910 0.1910 0.8376
14 Sn 0.2041 0.2041 0.3618
15 Sn 0.5000 0.5000 0.5000
16 Sn 0.7959 0.7959 0.6382
17 Sn 0.8090 0.8090 0.1624
18 Ru 0.2082 0.7918 0.0000
19 Ru 0.7918 0.2082 0.0000

## Properties
Energy of formation: -6.89 eV/f.u.
Magnetic moment: 0.0 μB/f.u.
DOS(E_F): 0.65 states/eV per atom
Space group: C2/m (12)
Volume: 577.4 Å³ per cell



Record 4
The following is a DFT calculation (PBE) of an optimized crystal structure of K3ZrF8.

Lattice parameters (Å, degrees): 5.9314 5.9314 5.9314 90.00 90.00 90.00
Fractional coordinates of all 12 atoms:
1 K 0.0000 0.0000 0.5000
2 K 0.0000 0.5000 0.0000
3 K 0.5000 0.0000 0.0000
4 Zr 0.5000 0.5000 0.5000
5 F 0.2897 0.2897 0.2897
6 F 0.2897 0.2897 0.7103
7 F 0.2897 0.7103 0.2897
8 F 0.2897 0.7103 0.7103
9 F 0.7103 0.2897 0.2897
10 F 0.7103 0.2897 0.7103
11 F 0.7103 0.7103 0.2897
12 F 0.7103 0.7103 0.7103

## Properties
Magnetic moment: 1.1 μB/f.u.
DOS(E_F): 0.95 states/eV per atom
Space group: Pm-3m (221)
Volume: 208.7 Å³ per cell
Formation energy without anion corrections: -35.59 eV per formula unit



Record 5
The following is a DFT calculation (PBE) of an optimized crystal structure of PrDy2Cu.

Lattice parameters (Å, degrees): 3.5368 3.5368 8.7273 90.00 90.00 90.00
Fractional coordinates of all 4 atoms:
1 Pr 0.0000 0.0000 0.0000
2 Dy 0.5000 0.5000 0.3091
3 Dy 0.5000 0.5000 0.6909
4 Cu 0.0000 0.0000 0.5000

## Properties
Energy of formation: -0.41 eV/f.u.
Magnetic moment: 0.0 μB/f.u.
E above lowest polymorph: 0 meV per atom
DOS(E_F): 0.92 states/eV per atom
Space group: P4/mmm (123)
Volume: 109.2 Å³ per cell



Record 6
The following is a DFT calculation (PBE) of an optimized crystal structure of Rb2SiHgSe4.

Lattice parameters (Å, degrees): 8.1866 8.1866 8.9303 103.35 103.35 82.94
Fractional coordinates of all 16 atoms:
1 Rb 0.0000 0.0000 0.0000
2 Rb 0.0000 0.0000 0.5000
3 Rb 0.0000 0.5000 0.0000
4 Rb 0.5000 0.0000 0.5000
5 Si 0.0000 0.5000 0.5000
6 Si 0.5000 0.0000 0.0000
7 Hg 0.5000 0.5000 0.0000
8 Hg 0.5000 0.5000 0.5000
9 Se 0.2040 0.3569 0.6520
10 Se 0.2044 0.6249 0.4005
11 Se 0.3569 0.2040 0.1520
12 Se 0.3751 0.7956 0.0995
13 Se 0.6249 0.2044 0.9005
14 Se 0.6431 0.7960 0.8480
15 Se 0.7956 0.3751 0.5995
16 Se 0.7960 0.6431 0.3480

## Properties
Magnetic moment: 0.0 μB/f.u.
Space group: C2/c (15)
Volume: 565.1 Å³ per cell
Formation energy without anion corrections: -3.95 eV per formula unit



Record 7
The following is a DFT calculation (PBE) of an optimized crystal structure of Mg2MnNi2.

Lattice parameters (Å, degrees): 7.2716 7.2716 2.8106 90.00 90.00 90.00
Fractional coordinates of all 10 atoms:
1 Mg 0.1343 0.3657 0.0000
2 Mg 0.3657 0.8657 0.0000
3 Mg 0.6343 0.1343 0.0000
4 Mg 0.8657 0.6343 0.0000
5 Mn 0.0000 0.0000 0.0000
6 Mn 0.5000 0.5000 0.0000
7 Ni 0.1656 0.6656 0.5000
8 Ni 0.3344 0.1656 0.5000
9 Ni 0.6656 0.8344 0.5000
10 Ni 0.8344 0.3344 0.5000

## Properties
Energy of formation: 0.78 eV/f.u.
Magnetic moment: 4.2 μB/f.u.
DOS(E_F): 0.51 states/eV per atom
Space group: P4/mbm (127)
Volume: 148.6 Å³ per cell



Record 8
The following is a DFT calculation (PBE) of an optimized crystal structure of ZnInCl4.

Lattice parameters (Å, degrees): 6.1218 6.1218 6.1218 60.00 60.00 60.00
Fractional coordinates of all 6 atoms:
1 Zn 0.0000 0.0000 0.0000
2 In 0.2500 0.2500 0.2500
3 Cl 0.1262 0.6246 0.6246
4 Cl 0.6246 0.1262 0.6246
5 Cl 0.6246 0.6246 0.1262
6 Cl 0.6246 0.6246 0.6246

## Properties
Magnetic moment: 3.1 μB/f.u.
E above lowest polymorph: 1135 meV per atom
DOS(E_F): 0.54 states/eV per atom
Space group: F-43m (216)
Volume: 162.2 Å³ per cell
Formation energy without anion corrections: 1.37 eV per formula unit



Record 9
The following is a DFT calculation (PBE) of an optimized crystal structure of Ce2ErC2Cl2.

Lattice parameters (Å, degrees): 7.7676 7.7676 7.7676 145.75 145.75 49.22
Fractional coordinates of all 7 atoms:
1 Ce 0.0965 0.0965 0.0000
2 Ce 0.9035 0.9035 0.0000
3 Er 0.5000 0.5000 0.0000
4 C 0.0000 0.5000 0.5000
5 C 0.5000 0.0000 0.5000
6 Cl 0.3033 0.3033 0.0000
7 Cl 0.6967 0.6967 0.0000

## Properties
Magnetic moment: 1.1 μB/f.u.
DOS(E_F): 0.83 states/eV per atom
Space group: I4/mmm (139)
Volume: 147.8 Å³ per cell
Formation energy without anion corrections: -5.86 eV per formula unit



Record 10
The following is a DFT calculation (PBE) of an optimized crystal structure of Rb2BaCo.

Lattice parameters (Å, degrees): 6.4651 6.4651 6.4651 60.00 60.00 60.00
Fractional coordinates of all 4 atoms:
1 Rb 0.2500 0.2500 0.2500
2 Rb 0.7500 0.7500 0.7500
3 Ba 0.0000 0.0000 0.0000
4 Co 0.5000 0.5000 0.5000

## Properties
Energy of formation: 3.90 eV/f.u.
Magnetic moment: 1.4 μB/f.u.
DOS(E_F): 1.28 states/eV per atom
Space group: Fm-3m (225)
Volume: 191.1 Å³ per cell



Record 11
The following is a DFT calculation (PBE) of an optimized crystal structure of Pu2Hg2Pb.

Lattice parameters (Å, degrees): 9.2082 9.2082 3.2982 90.00 90.00 90.00
Fractional coordinates of all 10 atoms:
1 Pu 0.1728 0.3272 0.0000
2 Pu 0.3272 0.8272 0.0000
3 Pu 0.6728 0.1728 0.0000
4 Pu 0.8272 0.6728 0.0000
5 Hg 0.1231 0.6231 0.5000
6 Hg 0.3769 0.1231 0.5000
7 Hg 0.6231 0.8769 0.5000
8 Hg 0.8769 0.3769 0.5000
9 Pb 0.0000 0.0000 0.0000
10 Pb 0.5000 0.5000 0.0000

## Properties
Energy of formation: 0.03 eV/f.u.
Magnetic moment: 11.9 μB/f.u.
E above lowest polymorph: 163 meV per atom
DOS(E_F): 3.78 states/eV per atom
Space group: P4/mbm (127)
Volume: 279.7 Å³ per cell



Record 12
The following is a DFT calculation (PBE) of an optimized crystal structure of TbThAgBi.

Lattice parameters (Å, degrees): 5.3988 5.3988 5.3988 60.00 60.00 60.00
Fractional coordinates of all 4 atoms:
1 Tb 0.0000 0.0000 0.0000
2 Th 0.5000 0.5000 0.5000
3 Ag 0.2500 0.2500 0.2500
4 Bi 0.7500 0.7500 0.7500

## Properties
Energy of formation: -1.17 eV/f.u.
Magnetic moment: 0.0 μB/f.u.
DOS(E_F): 1.25 states/eV per atom
Space group: F-43m (216)
Volume: 111.3 Å³ per cell



Record 13
The following is a DFT calculation (PBE) of an optimized crystal structure of La7Pr2In2.

Lattice parameters (Å, degrees): 7.0316 7.0316 9.3363 90.00 90.00 120.48
Fractional coordinates of all 11 atoms:
1 La 0.0000 0.0000 0.0000
2 La 0.0000 0.5000 0.3295
3 La 0.0000 0.5000 0.6705
4 La 0.5000 0.0000 0.3295
5 La 0.5000 0.0000 0.6705
6 La 0.5000 0.5000 0.1994
7 La 0.5000 0.5000 0.8006
8 Pr 0.2702 0.7298 0.0000
9 Pr 0.7298 0.2702 0.0000
10 In 0.2153 0.2153 0.5000
11 In 0.7847 0.7847 0.5000

## Properties
Energy of formation: 1.30 eV/f.u.
Magnetic moment: 0.0 μB/f.u.
DOS(E_F): 1.61 states/eV per atom
Space group: Cmmm (65)
Volume: 397.8 Å³ per cell



Record 14
The following is a DFT calculation (PBE) of an optimized crystal structure of TlInI2.

Lattice parameters (Å, degrees): 6.0078 6.0078 4.2441 90.00 90.00 90.00
Fractional coordinates of all 4 atoms:
1 Tl 0.0000 0.0000 0.0000
2 In 0.5000 0.5000 0.0000
3 I 0.0000 0.5000 0.5000
4 I 0.5000 0.0000 0.5000

## Properties
Magnetic moment: 0.0 μB/f.u.
E above lowest polymorph: 50 meV per atom
Space group: P4/mmm (123)
Volume: 153.2 Å³ per cell
Formation energy without anion corrections: -2.04 eV per formula unit



Record 15
The following is a DFT calculation (PBE) of an optimized crystal structure of Ce2ZrNbN5.

Lattice parameters (Å, degrees): 7.0333 7.0333 10.5023 90.00 90.00 151.83
Fractional coordinates of all 18 atoms:
1 Ce 0.1116 0.8884 0.5000
2 Ce 0.1438 0.8562 0.0947
3 Ce 0.8562 0.1438 0.5947
4 Ce 0.8884 0.1116 0.0000
5 Zr 0.2182 0.7818 0.8130
6 Zr 0.7818 0.2182 0.3130
7 Nb 0.4758 0.5242 0.2726
8 Nb 0.5242 0.4758 0.7726
9 N 0.0526 0.9474 0.8650
10 N 0.2791 0.7209 0.4622
11 N 0.3180 0.6820 0.1811
12 N 0.3749 0.6251 0.8103
13 N 0.4910 0.5090 0.5880
14 N 0.5090 0.4910 0.0880
15 N 0.6251 0.3749 0.3103
16 N 0.6820 0.3180 0.6811
17 N 0.7209 0.2791 0.9622
18 N 0.9474 0.0526 0.3650

## Properties
Magnetic moment: 0.7 μB/f.u.
DOS(E_F): 0.92 states/eV per atom
Space group: Cmc2_1 (36)
Volume: 245.2 Å³ per cell
Formation energy without anion corrections: -12.23 eV per formula unit



Record 16
The following is a DFT calculation (PBE) of an optimized crystal structure of Be2FeTcB.

Lattice parameters (Å, degrees): 3.7510 3.7510 4.4161 90.00 90.00 90.00
Fractional coordinates of all 5 atoms:
1 Be 0.0000 0.5000 0.0000
2 Be 0.5000 0.0000 0.0000
3 Fe 0.0000 0.0000 0.0000
4 Tc 0.0000 0.0000 0.5000
5 B 0.5000 0.5000 0.5000

## Properties
Energy of formation: 7.01 eV/f.u.
Magnetic moment: 0.0 μB/f.u.
E above lowest polymorph: 1707 meV per atom
DOS(E_F): 0.84 states/eV per atom
Space group: P4/mmm (123)
Volume: 62.1 Å³ per cell



Record 17
The following is a DFT calculation (PBE) of an optimized crystal structure of Na3PuU2Te6.

Lattice parameters (Å, degrees): 7.7136 7.7136 7.9917 99.26 99.26 120.00
Fractional coordinates of all 12 atoms:
1 Na 0.0000 0.0000 0.0000
2 Na 0.3347 0.6653 0.0000
3 Na 0.6653 0.3347 0.0000
4 Pu 0.5000 0.5000 0.5000
5 U 0.1667 0.8333 0.5000
6 U 0.8333 0.1667 0.5000
7 Te 0.0838 0.4214 0.2642
8 Te 0.2411 0.2411 0.7360
9 Te 0.4214 0.0838 0.2642
10 Te 0.5786 0.9162 0.7358
11 Te 0.7589 0.7589 0.2640
12 Te 0.9162 0.5786 0.7358

## Properties
Magnetic moment: 11.0 μB/f.u.
DOS(E_F): 2.30 states/eV per atom
Space group: C2/m (12)
Volume: 389.9 Å³ per cell
Formation energy without anion corrections: -10.48 eV per formula unit



Record 18
The following is a DFT calculation (PBE) of an optimized crystal structure of SrCa2PaN4.

Lattice parameters (Å, degrees): 6.0888 3.6369 6.2567 90.00 109.59 90.00
Fractional coordinates of all 8 atoms:
1 Sr 0.0000 0.0000 0.0000
2 Ca 0.5000 0.0000 0.5000
3 Ca 0.5000 0.5000 0.0000
4 Pa 0.0000 0.5000 0.5000
5 N 0.2202 0.5000 0.2970
6 N 0.2351 0.0000 0.7270
7 N 0.7649 0.0000 0.2730
8 N 0.7798 0.5000 0.7030

## Properties
Magnetic moment: 1.0 μB/f.u.
DOS(E_F): 0.58 states/eV per atom
Space group: P2/m (10)
Volume: 130.5 Å³ per cell
Formation energy without anion corrections: -8.66 eV per formula unit



Record 19
The following is a DFT calculation (PBE) of an optimized crystal structure of YSc2Ru2.

Lattice parameters (Å, degrees): 9.6528 9.6528 3.2672 90.00 90.00 160.21
Fractional coordinates of all 5 atoms:
1 Y 0.0000 0.0000 0.0000
2 Sc 0.1714 0.8286 0.0000
3 Sc 0.8286 0.1714 0.0000
4 Ru 0.4012 0.5988 0.5000
5 Ru 0.5988 0.4012 0.5000

## Properties
Energy of formation: -1.85 eV/f.u.
Magnetic moment: 0.0 μB/f.u.
E above lowest polymorph: 28 meV per atom
DOS(E_F): 0.52 states/eV per atom
Space group: Cmmm (65)
Volume: 103.1 Å³ per cell



Record 20
The following is a DFT calculation (PBE) of an optimized crystal structure of AlCuGe.

Lattice parameters (Å, degrees): 4.5615 4.5615 5.2919 90.00 90.00 120.00
Fractional coordinates of all 6 atoms:
1 Al 0.3333 0.6667 0.2500
2 Al 0.6667 0.3333 0.7500
3 Cu 0.0000 0.0000 0.0000
4 Cu 0.0000 0.0000 0.5000
5 Ge 0.3333 0.6667 0.7500
6 Ge 0.6667 0.3333 0.2500

## Properties
Energy of formation: 0.61 eV/f.u.
Magnetic moment: 0.0 μB/f.u.
DOS(E_F): 0.45 states/eV per atom
Space group: P6_3/mmc (194)
Volume: 95.4 Å³ per cell